K2AsP: relaxed, PBE.

Unit cell a=12.3875 b=12.3875 c=9.0848 alpha=47.02 beta=47.02 gamma=90.00
Closest atoms and distances in Å follow each position.
Element x y z (fractional)
1 As 0.0000 0.0000 0.0000  2 P 2.41
2 K 0.8750 0.6300 0.7500  2 P 3.16
3 P 0.2500 0.7500 0.5000  2 As 2.41
4 K 0.3800 0.1250 0.2500  2 P 3.16
5 As 0.7500 0.2500 0.5000  2 P 2.41
6 K 0.3700 0.6250 0.2500  2 P 3.16
7 P 0.5000 0.5000 0.0000  2 As 2.41
8 K 0.3750 0.6200 0.7500  2 P 3.16

## Properties
energy above the lowest structure with this stoichiometry: 0.262 eV/atom
D(E_F): 3.12 states/eV/f.u.
E: -25.39 eV/cell
formation energy from the elements: -0.441 eV/f.u.